# 1
VASP calculation (GGA-PBE) on Tb2Tm after structural relaxation.

a b c (Å): 4.1304 4.1304 6.2467
angles (deg): 109.40 109.40 89.99
Last column: nearest neighbours and their distance in Å.
Fractional coordinates of all 3 atoms:
Tm  0.5000  0.5000  0.0000  10 Tb 3.43-3.72
Tb  0.1631  0.1631  0.3263  5 Tm 3.43-3.72, 5 Tb 3.49-3.60
Tb  0.8369  0.8369  0.6737  5 Tm 3.43-3.72, 5 Tb 3.49-3.60

E_form	0.12	eV/atom
total magnetization	0.000	μB/cell
energy above the most stable polymorph in this dataset	105	meV per atom

=====

# 2
VASP calculation (GGA-PBE) on Dy6Ho12Cd after structural relaxation.

a b c (Å): 8.5272 8.5272 8.5271
angles (deg): 97.19 97.19 97.19
Last column: nearest neighbours and their distance in Å.
Fractional coordinates of all 19 atoms:
Dy  0.1356  0.1362  0.4083  4 Ho 3.29-3.46, 2 Dy 3.48, 1 Cd 3.53
Dy  0.8638  0.5917  0.8644  4 Ho 3.29-3.46, 2 Dy 3.48, 1 Cd 3.53
Dy  0.5917  0.8644  0.8638  4 Ho 3.29-3.46, 2 Dy 3.48, 1 Cd 3.53
Dy  0.8644  0.8638  0.5917  4 Ho 3.29-3.46, 2 Dy 3.48, 1 Cd 3.53
Dy  0.1362  0.4083  0.1356  4 Ho 3.29-3.46, 2 Dy 3.48, 1 Cd 3.53
Dy  0.4083  0.1356  0.1362  4 Ho 3.29-3.46, 2 Dy 3.48, 1 Cd 3.53
Ho  0.5861  0.1680  0.5859  5 Ho 3.14-3.45
Ho  0.1680  0.5859  0.5861  5 Ho 3.14-3.45
Ho  0.5859  0.5861  0.1680  5 Ho 3.14-3.45
Ho  0.4139  0.8320  0.4141  5 Ho 3.14-3.45
Ho  0.8320  0.4141  0.4139  5 Ho 3.14-3.45
Ho  0.4141  0.4139  0.8320  5 Ho 3.14-3.45
Ho  0.2601  0.0003  0.7398  4 Dy 3.29-3.46, 6 Ho 3.33-3.57, 1 Cd 3.33
Ho  0.2602  0.7399  0.9996  4 Dy 3.29-3.46, 1 Cd 3.33, 6 Ho 3.33-3.57
Ho  0.9997  0.2602  0.7399  4 Dy 3.29-3.46, 6 Ho 3.33-3.57, 1 Cd 3.33
Ho  0.7399  0.9997  0.2602  4 Dy 3.29-3.46, 6 Ho 3.33-3.57, 1 Cd 3.33
Ho  0.7398  0.2601  0.0004  4 Dy 3.29-3.46, 1 Cd 3.33, 6 Ho 3.33-3.57
Ho  0.0003  0.7398  0.2601  4 Dy 3.29-3.46, 6 Ho 3.33-3.57, 1 Cd 3.33
Cd  0.0000  0.0000  0.0000  6 Ho 3.33, 6 Dy 3.53

E_form	0.12	eV/atom
total magnetization	0.001	μB/cell
energy above the most stable polymorph in this dataset	15	meV per atom

=====

# 3
VASP calculation (GGA-PBE) on Mg2Cu2BPt4 after structural relaxation.

a b c (Å): 5.6426 5.6426 5.6426
angles (deg): 91.68 119.04 119.04
Last column: nearest neighbours and their distance in Å.
Fractional coordinates of all 9 atoms:
Mg  0.5000  0.7500  0.2500  8 Pt 2.82, 4 Cu 2.87
Mg  0.5000  0.2500  0.7500  8 Pt 2.82, 4 Cu 2.87
Cu  0.0000  0.7339  0.7339  1 B 2.09
Cu  0.0000  0.2661  0.2661  1 B 2.09
B  0.0000  0.0000  0.0000  4 Pt 2.07, 2 Cu 2.09
Pt  0.0000  0.7440  0.2560  1 B 2.07
Pt  0.4879  0.7440  0.7440  1 B 2.07
Pt  0.0000  0.2560  0.7440  1 B 2.07
Pt  0.5121  0.2560  0.2560  1 B 2.07

E_form	-0.58	eV/atom
total magnetization	0.000	μB/cell

=====

# 4
VASP calculation (GGA-PBE) on Na3Sn2Pb5 after structural relaxation.

a b c (Å): 10.8577 9.4192 9.6957
angles (deg): 119.06 124.05 90.00
Last column: nearest neighbours and their distance in Å.
Fractional coordinates of all 20 atoms:
Na  0.2500  0.0000  0.0000  4 Sn 3.18, 2 Pb 3.27
Na  0.7500  0.0000  0.0000  4 Sn 3.18, 2 Pb 3.27
Na  0.6316  0.4302  0.2633  1 Sn 3.11, 3 Pb 3.27-3.47
Na  0.3684  0.5698  0.7367  1 Sn 3.11, 3 Pb 3.27-3.47
Na  0.1316  0.8331  0.2633  1 Sn 3.11, 3 Pb 3.27-3.47
Na  0.8684  0.1669  0.7367  1 Sn 3.11, 3 Pb 3.27-3.47
Sn  0.8755  0.8440  0.7511  3 Pb 3.04-3.19, 3 Na 3.11-3.18, 1 Sn 3.29
Sn  0.1245  0.1560  0.2489  3 Pb 3.04-3.19, 3 Na 3.11-3.18, 1 Sn 3.29
Sn  0.3755  0.9071  0.7511  3 Pb 3.04-3.19, 3 Na 3.11-3.18, 1 Sn 3.29
Sn  0.6245  0.0929  0.2489  3 Pb 3.04-3.19, 3 Na 3.11-3.18, 1 Sn 3.29
Pb  0.2500  0.5000  0.0000  6 Pb 3.24-3.46
Pb  0.7500  0.5000  0.0000  6 Pb 3.24-3.46
Pb  0.9990  0.7490  0.4979  2 Sn 3.19, 3 Pb 3.24-3.44, 1 Na 3.27
Pb  0.5010  0.2510  0.5021  2 Sn 3.19, 3 Pb 3.24-3.44, 1 Na 3.27
Pb  0.0010  0.2510  0.5021  2 Sn 3.19, 3 Pb 3.24-3.44, 1 Na 3.27
Pb  0.4990  0.7490  0.4979  2 Sn 3.19, 3 Pb 3.24-3.44, 1 Na 3.27
Pb  0.8740  0.5198  0.7481  1 Sn 3.04, 2 Na 3.27-3.39
Pb  0.1260  0.4802  0.2519  1 Sn 3.04, 2 Na 3.27-3.39
Pb  0.3740  0.2282  0.7481  1 Sn 3.04, 2 Na 3.27-3.39
Pb  0.6260  0.7718  0.2519  1 Sn 3.04, 2 Na 3.27-3.39

E_form	0.00	eV/atom
total magnetization	0.000	μB/cell
energy above the most stable polymorph in this dataset	27	meV per atom

=====

# 5
VASP calculation (GGA-PBE) on NbCu2Sb after structural relaxation.

a b c (Å): 7.1798 7.1798 5.7646
angles (deg): 51.48 51.48 90.00
Last column: nearest neighbours and their distance in Å.
Fractional coordinates of all 8 atoms:
Sb  0.0000  0.0000  0.0000  4 Cu 2.60, 2 Nb 2.73
Sb  0.7500  0.2500  0.5000  4 Cu 2.60, 2 Nb 2.73
Nb  0.5000  0.5000  0.0000  4 Cu 2.66, 2 Sb 2.73
Nb  0.2500  0.7500  0.5000  4 Cu 2.66, 2 Sb 2.73
Cu  0.6317  0.1250  0.2500  2 Sb 2.60, 2 Nb 2.66, 2 Cu 2.73
Cu  0.1183  0.6250  0.2500  2 Sb 2.60, 2 Nb 2.66, 2 Cu 2.73
Cu  0.3750  0.3683  0.7500  2 Sb 2.60, 2 Nb 2.66, 2 Cu 2.73
Cu  0.8750  0.8817  0.7500  2 Sb 2.60, 2 Nb 2.66, 2 Cu 2.73

E_form (uncorrected)	0.3072	eV/atom
total magnetization	0.000	μB/cell

=====

# 6
VASP calculation (GGA-PBE) on PC2SeI after structural relaxation.

a b c (Å): 3.7591 7.9365 3.7591
angles (deg): 90.00 90.00 90.00
Last column: nearest neighbours and their distance in Å.
Fractional coordinates of all 5 atoms:
I  0.0000  0.5000  0.0000  4 Se 2.66
P  0.0000  0.0000  0.0000  4 C 1.88
C  0.0000  0.0000  0.5000  2 P 1.88
C  0.5000  0.0000  0.0000  2 P 1.88
Se  0.5000  0.5000  0.5000  4 I 2.66

E_form (uncorrected)	1.8004	eV/atom
total magnetization	0.000	μB/cell

=====

# 7
VASP calculation (GGA-PBE) on LiAcScTl after structural relaxation.

a b c (Å): 5.3512 5.3512 5.3512
angles (deg): 60.00 60.00 60.00
Last column: nearest neighbours and their distance in Å.
Fractional coordinates of all 4 atoms:
Sc  0.0000  0.0000  0.0000  4 Tl 3.28, 4 Ac 3.28
Ac  0.7500  0.7500  0.7500  4 Li 3.28, 4 Sc 3.28
Tl  0.2500  0.2500  0.2500  4 Li 3.28, 4 Sc 3.28
Li  0.5000  0.5000  0.5000  4 Ac 3.28, 4 Tl 3.28

E_form	0.06	eV/atom
total magnetization	1.356	μB/cell

=====

# 8
VASP calculation (GGA-PBE) on Sc3GaCo after structural relaxation.

a b c (Å): 5.2501 5.2501 8.5043
angles (deg): 66.20 66.20 67.90
Last column: nearest neighbours and their distance in Å.
Fractional coordinates of all 10 atoms:
Sc  0.3030  0.3030  0.8904  4 Co 2.71-2.79, 1 Sc 3.00
Sc  0.6970  0.6970  0.1096  4 Co 2.71-2.79, 1 Sc 3.00
Sc  0.0542  0.0542  0.7321  2 Co 2.59, 2 Ga 2.83
Sc  0.9458  0.9458  0.2679  2 Co 2.59, 2 Ga 2.83
Sc  0.6968  0.6968  0.6960  2 Co 2.70, 2 Ga 2.91, 1 Sc 3.00
Sc  0.3032  0.3032  0.3040  2 Co 2.70, 2 Ga 2.91, 1 Sc 3.00
Ga  0.7060  0.2940  0.5000  1 Ga 2.42
Ga  0.2940  0.7060  0.5000  1 Ga 2.42
Co  0.2618  0.7382  0.0000  8 Sc 2.59-2.79, 1 Co 2.79
Co  0.7382  0.2618  0.0000  8 Sc 2.59-2.79, 1 Co 2.79

E_form	-0.38	eV/atom
total magnetization	0.000	μB/cell
energy above the most stable polymorph in this dataset	0	meV per atom